1:
# EuDyBi2

A relaxed EuDyBi2 crystal (PBE, the Alexandria database).

Properties
For the magnetization, the calculation gives 7.1 μB/cell.

a = 3.8338 Å, b = 3.8338 Å, c = 8.4909 Å
α = 90.00°, β = 90.00°, γ = 90.00°
With the nearest neighbours (Å) after each atom.
Space group P4/mmm (No. 123)
Asymmetric unit:
Eu: 0.0000 0.0000 0.0000  8 Bi 3.52, 4 Eu 3.83
Dy: 0.0000 0.0000 0.5000  8 Bi 3.37
Bi: 0.5000 0.5000 0.2650  4 Dy 3.37, 4 Eu 3.52

---

2:
# EuDyBi2

A relaxed EuDyBi2 crystal (PBE, the Alexandria database).

Properties
For the magnetization, the calculation gives 20.0 μB/cell.

a = 4.5314 Å, b = 4.5314 Å, c = 22.9384 Å
α = 90.00°, β = 90.00°, γ = 120.00°
With the nearest neighbours (Å) after each atom.
Space group R-3m (No. 166, hexagonal axes)
Asymmetric unit:
Eu: 0.0000 0.0000 0.0000  6 Bi 3.30
Dy: 0.0000 0.0000 0.5000  6 Bi 3.18
Bi: 0.0000 0.0000 0.2454  3 Dy 3.18, 3 Eu 3.30

---

In order of decreasing stability: 2, 1.

---

1:
# Dy2GaBi

A relaxed Dy2GaBi crystal (PBE, the Alexandria database).

Properties
For the magnetization, the calculation gives 0.0 μB/cell.

a = 3.9338 Å, b = 3.9338 Å, c = 6.7690 Å
α = 90.00°, β = 90.00°, γ = 90.00°
With the nearest neighbours (Å) after each atom.
Space group P4/mmm (No. 123)
Asymmetric unit:
Dy: 0.0000 0.0000 0.2431  4 Ga 3.23, 4 Bi 3.28, 2 Dy 3.29-3.48
Ga: 0.5000 0.5000 0.0000  8 Dy 3.23, 2 Bi 3.38
Bi: 0.5000 0.5000 0.5000  8 Dy 3.28, 2 Ga 3.38

---

2:
# Dy2GaBi

A relaxed Dy2GaBi crystal (PBE, the Alexandria database).

Properties
For the magnetization, the calculation gives 0.0 μB/cell.

a = 4.2267 Å, b = 4.2267 Å, c = 22.3328 Å
α = 90.00°, β = 90.00°, γ = 120.00°
With the nearest neighbours (Å) after each atom.
Space group R-3m (No. 166, hexagonal axes)
Asymmetric unit:
Dy: 0.0000 0.0000 0.2473  3 Ga 3.03, 3 Bi 3.11
Ga: 0.0000 0.0000 0.5000  6 Dy 3.03
Bi: 0.0000 0.0000 0.0000  6 Dy 3.11

---

In order of decreasing stability: 1, 2.

---

1:
# DyGa2Bi

A relaxed DyGa2Bi crystal (PBE, the Alexandria database).

Properties
For the magnetization, the calculation gives 0.0 μB/cell.

a = 4.6267 Å, b = 4.6267 Å, c = 4.3880 Å
α = 90.00°, β = 90.00°, γ = 90.00°
With the nearest neighbours (Å) after each atom.
Space group P4/mmm (No. 123)
Asymmetric unit:
Dy: 0.0000 0.0000 0.0000  8 Ga 3.19, 4 Bi 3.27
Ga: 0.0000 0.5000 0.5000  4 Dy 3.19, 4 Bi 3.19, 4 Ga 3.27
Bi: 0.5000 0.5000 0.0000  8 Ga 3.19, 4 Dy 3.27

---

2:
# DyGa2Bi

A relaxed DyGa2Bi crystal (PBE, the Alexandria database).

Properties
For the magnetization, the calculation gives 0.0 μB/cell.

a = 5.2172 Å, b = 5.2172 Å, c = 12.5710 Å
α = 90.00°, β = 90.00°, γ = 120.00°
With the nearest neighbours (Å) after each atom.
Space group R-3m (No. 166, hexagonal axes)
Asymmetric unit:
Dy: 0.0000 0.0000 0.0000  8 Ga 3.14-3.19
Ga: 0.0000 0.0000 0.2497  4 Dy 3.14-3.19, 4 Bi 3.15-3.19
Bi: 0.0000 0.0000 0.5000  8 Ga 3.15-3.19

---

In order of decreasing stability: 1, 2.

---

1:
# DyGaBi2

A relaxed DyGaBi2 crystal (PBE, the Alexandria database).

Properties
For the magnetization, the calculation gives 0.0 μB/cell.

a = 4.1802 Å, b = 4.1802 Å, c = 6.3502 Å
α = 90.00°, β = 90.00°, γ = 90.00°
With the nearest neighbours (Å) after each atom.
Space group P4/mmm (No. 123)
Asymmetric unit:
Dy: 0.0000 0.0000 0.0000  2 Ga 3.18, 8 Bi 3.35
Ga: 0.0000 0.0000 0.5000  2 Dy 3.18, 8 Bi 3.36
Bi: 0.5000 0.5000 0.2495  2 Bi 3.17-3.18, 4 Dy 3.35, 4 Ga 3.36

---

2:
# DyGaBi2

A relaxed DyGaBi2 crystal (PBE, the Alexandria database).

Properties
For the magnetization, the calculation gives 0.0 μB/cell.

a = 4.9505 Å, b = 4.9505 Å, c = 24.4825 Å
α = 90.00°, β = 90.00°, γ = 120.00°
With the nearest neighbours (Å) after each atom.
Space group R-3m (No. 166, hexagonal axes)
Asymmetric unit:
Dy: 0.0000 0.0000 0.0000  6 Bi 3.20
Ga: 0.0000 0.0000 0.5000  2 Bi 2.64
Bi: 0.0000 0.0000 0.3923  1 Ga 2.64

---

In order of decreasing stability: 1, 2.

---

1:
# Dy3BiH

A relaxed Dy3BiH crystal (PBE, the Alexandria database).

Properties
For the magnetization, the calculation gives 0.0 μB/cell.

a = 4.8451 Å, b = 4.8451 Å, c = 4.8451 Å
α = 90.00°, β = 90.00°, γ = 90.00°
With the nearest neighbours (Å) after each atom.
Space group Pm-3m (No. 221)
Asymmetric unit:
Dy: 0.0000 0.0000 0.5000  2 H 2.42
Bi: 0.5000 0.5000 0.5000  12 Dy 3.43
H: 0.0000 0.0000 0.0000  6 Dy 2.42

---

2:
# Dy3BiH

A relaxed Dy3BiH crystal (PBE, the Alexandria database).

Properties
For the magnetization, the calculation gives 0.0 μB/cell.

a = 6.5954 Å, b = 3.9762 Å, c = 9.5840 Å
α = 90.00°, β = 101.37°, γ = 90.00°
With the nearest neighbours (Å) after each atom.
Space group P2_1/m (No. 11)
Asymmetric unit:
Dy: 0.0924 0.2500 0.3804  3 H 2.51-2.65
Dy: 0.2389 0.2500 0.9062  1 H 2.43
Dy: 0.4073 0.7500 0.6438  2 H 2.50
Bi: 0.2750 0.7500 0.1626  8 Dy 3.13-3.40
H: 0.1792 0.2500 0.6474  6 Dy 2.43-2.65

---

In order of decreasing stability: 2, 1.

---

1:
# Dy2HgBi

A relaxed Dy2HgBi crystal (PBE, the Alexandria database).

Properties
For the magnetization, the calculation gives 0.0 μB/cell.

a = 4.2514 Å, b = 4.2514 Å, c = 23.5392 Å
α = 90.00°, β = 90.00°, γ = 120.00°
With the nearest neighbours (Å) after each atom.
Space group R3m (No. 160, hexagonal axes)
Asymmetric unit:
Dy: 0.0000 0.0000 0.0000  3 Bi 3.12, 3 Hg 3.19
Dy: 0.0000 0.0000 0.1702  3 Bi 3.11, 3 Hg 3.15
Hg: 0.0000 0.0000 0.7529  6 Dy 3.15-3.19
Bi: 0.0000 0.0000 0.5845  6 Dy 3.11-3.12

---

2:
# Dy2HgBi

A relaxed Dy2HgBi crystal (PBE, the Alexandria database).

Properties
For the magnetization, the calculation gives 0.7 μB/cell.

a = 3.9769 Å, b = 3.9769 Å, c = 6.9218 Å
α = 90.00°, β = 90.00°, γ = 90.00°
With the nearest neighbours (Å) after each atom.
Space group P4/mmm (No. 123)
Asymmetric unit:
Dy: 0.0000 0.0000 0.2488  4 Hg 3.30, 4 Bi 3.31, 2 Dy 3.44-3.48
Hg: 0.5000 0.5000 0.0000  8 Dy 3.30, 2 Bi 3.46
Bi: 0.5000 0.5000 0.5000  8 Dy 3.31, 2 Hg 3.46

---

In order of decreasing stability: 2, 1.